No. 1
{
  "formula": "SrCa2Zn",
  "functional": "PBE-GGA",
  "state": "optimized geometry",
  "spacegroup": "I4/mmm",
  "e_tot_ev_per_cell": -6.67,
  "cell": [[6.6821, 0.0255, 0.0000], [2.8291, 6.0537, 0.0000], [-4.7556, -3.0396, 3.5772]],
  "species": ["Zn", "Sr", "Ca", "Ca"],
  "fractional_positions": [[0.7500, 0.2500, 0.5000], [0.2500, 0.7500, 0.5000], [0.0000, 0.0000, 0.0000], [0.5000, 0.5000, 0.0000]]
}

=====

No. 2
{
  "formula": "CsNa2Tl2Hg2",
  "functional": "PBE-GGA",
  "state": "optimized geometry",
  "spacegroup": "R-3m",
  "e_tot_ev_per_cell": -10.19,
  "cell": [[5.3805, 0.0000, 0.0000], [-2.6903, 4.6435, -0.3597], [0.0000, -2.3361, 10.0385]],
  "species": ["Tl", "Hg", "Cs", "Na", "Na", "Hg", "Tl"],
  "fractional_positions": [[0.4451, 0.8901, 0.3345], [0.2464, 0.4927, 0.7395], [0.0000, 0.0000, 0.0000], [0.8615, 0.7230, 0.5847], [0.1385, 0.2770, 0.4153], [0.7536, 0.5073, 0.2605], [0.5549, 0.1099, 0.6655]]
}

=====

No. 3
{
  "formula": "Nd2TcNi",
  "functional": "PBE-GGA",
  "state": "optimized geometry",
  "spacegroup": "P4/mmm",
  "e_tot_ev_per_cell": -25.49,
  "cell": [[3.5495, 0.0000, 0.0000], [0.0000, 3.5495, 0.0000], [0.0000, 0.0000, 6.8936]],
  "species": ["Ni", "Nd", "Nd", "Tc"],
  "fractional_positions": [[0.5000, 0.5000, 0.5000], [0.0000, 0.0000, 0.2506], [0.0000, 0.0000, 0.7494], [0.5000, 0.5000, 0.0000]]
}

=====

No. 4
{
  "formula": "TiNbZn2",
  "functional": "PBE-GGA",
  "state": "optimized geometry",
  "spacegroup": "R3m",
  "e_tot_ev_per_cell": -20.35,
  "cell": [[2.8145, 0.0000, 0.0000], [1.4073, 2.4375, 0.0000], [1.4073, 0.8125, 9.6119]],
  "species": ["Zn", "Nb", "Zn", "Ti"],
  "fractional_positions": [[0.2515, 0.2515, 0.2454], [0.4999, 0.4999, 0.5003], [0.0817, 0.0817, 0.7549], [0.6669, 0.6669, 0.9994]]
}

=====

Question: Number 2 is which compound?
Answer: CsNa2Tl2Hg2